[1]
A plane-wave DFT calculation with GGA-PBE was carried out for crystalline TbPmNd2Dy4 at its relaxed geometry.

The structure in POSCAR format:
```
TbPmNd2Dy4
1.0
6.850 -6.655 0.000
6.850 6.655 0.000
-3.416 0.000 5.928
Tb Pm Nd Dy
2 2 4 8
Direct
0.000 0.000 0.000
0.000 0.000 0.500
0.000 0.500 0.000
0.500 0.000 0.500
0.000 0.500 0.500
0.500 0.000 0.000
0.500 0.500 0.000
0.500 0.500 0.500
0.247 0.247 0.495
0.247 0.247 0.995
0.247 0.753 0.000
0.247 0.753 0.500
0.753 0.247 0.000
0.753 0.247 0.500
0.753 0.753 0.005
0.753 0.753 0.505
```

Properties
Total DFT energy (no corrections) (eV/atom): -4.25

[2]
A plane-wave DFT calculation with GGA-PBE was carried out for crystalline Tb6Pm2NdDy at its relaxed geometry.

The structure in POSCAR format:
```
Tb6Pm2NdDy
1.0
4.530 -7.558 0.000
4.530 7.558 0.000
-1.591 0.000 9.674
Tb Pm Nd Dy
12 4 2 2
Direct
0.027 0.578 0.185
0.122 0.745 0.557
0.255 0.878 0.943
0.293 0.501 0.379
0.422 0.973 0.315
0.499 0.707 0.121
0.501 0.293 0.879
0.578 0.027 0.685
0.707 0.499 0.621
0.745 0.122 0.057
0.878 0.255 0.443
0.973 0.422 0.815
0.189 0.292 0.041
0.292 0.189 0.541
0.708 0.811 0.459
0.811 0.708 0.959
0.405 0.595 0.750
0.595 0.405 0.250
0.018 0.982 0.250
0.982 0.018 0.750
```

Properties
Total DFT energy (no corrections) (eV/atom): -4.54

[3]
A plane-wave DFT calculation with GGA-PBE was carried out for crystalline TbPm2Nd2Dy at its relaxed geometry.

The structure in POSCAR format:
```
TbPm2Nd2Dy
1.0
7.084 0.000 0.000
0.000 5.726 0.000
0.000 0.000 9.922
Tb Pm Nd Dy
2 4 4 2
Direct
0.000 0.000 0.000
0.500 0.000 0.000
0.250 0.000 0.337
0.250 0.500 0.831
0.750 0.000 0.663
0.750 0.500 0.169
0.000 0.500 0.500
0.250 0.000 0.675
0.500 0.500 0.500
0.750 0.000 0.325
0.250 0.500 0.161
0.750 0.500 0.839
```

Properties
Total DFT energy (no corrections) (eV/atom): -4.65